[1]
{
  "formula": "RbFe2HgI6",
  "functional": "PBE",
  "state": "relaxed",
  "formation_energy_uncorrected_mev_per_atom": -384,
  "dos_at_fermi_per_ev_atom": 0.588,
  "lattice": [[-9.6948, 2.9340, 6.0381], [-0.3908, -10.7371, 4.8599], [3.4464, 1.8391, 5.8755]],
  "species": ["Hg", "Hg", "I", "I", "I", "I", "I", "I", "I", "I", "I", "I", "I", "I", "Fe", "Fe", "Fe", "Fe", "Rb", "Rb"],
  "frac_coords": [[0.3938, 0.6062, 0.7500], [0.6062, 0.3938, 0.2500], [0.7285, 0.5301, 0.7388], [0.0606, 0.6808, 0.7455], [0.3192, 0.9394, 0.7545], [0.8825, 0.7483, 0.2738], [0.6808, 0.0606, 0.2455], [0.5301, 0.7285, 0.2388], [0.7483, 0.8825, 0.7738], [0.2715, 0.4699, 0.2612], [0.9394, 0.3192, 0.2545], [0.1175, 0.2517, 0.7262], [0.4699, 0.2715, 0.7612], [0.2517, 0.1175, 0.2262], [0.7002, 0.8572, 0.1542], [0.8572, 0.7002, 0.6542], [0.1428, 0.2998, 0.3458], [0.2998, 0.1428, 0.8458], [0.2136, 0.7864, 0.2500], [0.7864, 0.2136, 0.7500]]
}

[2]
{
  "formula": "RbFeHgI4",
  "functional": "PBE",
  "state": "relaxed",
  "formation_energy_uncorrected_mev_per_atom": -540,
  "lattice": [[-7.3482, -2.9705, -3.8959], [-2.4625, -3.3344, 7.1869], [-2.2133, 8.8282, 3.3375]],
  "species": ["I", "I", "I", "I", "I", "I", "I", "I", "Fe", "Fe", "Rb", "Rb", "Hg", "Hg"],
  "frac_coords": [[0.3747, 0.7500, 0.5662], [0.9804, 0.0011, 0.7371], [0.3644, 0.7500, 0.1288], [0.0196, 0.9989, 0.2629], [0.9804, 0.4989, 0.7371], [0.6253, 0.2500, 0.4338], [0.6356, 0.2500, 0.8712], [0.0196, 0.5011, 0.2629], [0.1980, 0.7500, 0.3064], [0.8020, 0.2500, 0.6936], [0.2615, 0.2500, 0.5776], [0.7385, 0.7500, 0.4224], [0.2943, 0.2500, 0.0574], [0.7057, 0.7500, 0.9426]]
}

[3]
{
  "formula": "Rb2FeHgI6",
  "functional": "PBE",
  "state": "relaxed",
  "formation_energy_uncorrected_mev_per_atom": -551,
  "dos_at_fermi_per_ev_atom": 1.427,
  "lattice": [[-6.4314, 1.7455, 4.8176], [2.7531, -5.3436, 5.6113], [1.2866, 2.5419, 7.8146]],
  "species": ["I", "I", "I", "I", "I", "I", "Rb", "Rb", "Fe", "Hg"],
  "frac_coords": [[0.2764, 0.2764, 0.4473], [0.7320, 0.2680, 0.0000], [0.7236, 0.7236, 0.5527], [0.7320, 0.7320, 0.0000], [0.2680, 0.2680, 0.0000], [0.2680, 0.7320, 0.0000], [0.2500, 0.7500, 0.5000], [0.7500, 0.2500, 0.5000], [0.5000, 0.5000, 0.0000], [0.0000, 0.0000, 0.0000]]
}

[4]
{
  "formula": "RbFe2HgI8",
  "functional": "PBE",
  "state": "relaxed",
  "formation_energy_uncorrected_mev_per_atom": -393,
  "dos_at_fermi_per_ev_atom": 0.267,
  "lattice": [[7.3987, -0.5199, 0.2662], [2.9517, 6.8043, 0.2662], [0.8824, 0.5357, 10.7825]],
  "species": ["I", "I", "I", "I", "I", "I", "I", "I", "Fe", "Fe", "Rb", "Hg"],
  "frac_coords": [[0.7506, 0.7506, 0.0192], [0.6986, 0.6986, 0.4250], [0.3014, 0.3014, 0.5750], [0.2494, 0.2494, 0.9808], [0.2729, 0.7545, 0.7819], [0.2455, 0.7271, 0.2181], [0.7271, 0.2455, 0.2181], [0.7545, 0.2729, 0.7819], [0.3861, 0.3861, 0.7770], [0.6139, 0.6139, 0.2230], [0.0000, 0.0000, 0.5000], [0.0000, 0.0000, 0.0000]]
}

[5]
{
  "formula": "RbFeHgI2",
  "functional": "PBE",
  "state": "relaxed",
  "formation_energy_uncorrected_mev_per_atom": 467,
  "dos_at_fermi_per_ev_atom": 0.282,
  "lattice": [[-2.5515, 5.6049, 0.2397], [-2.3901, -0.8288, -6.0622], [-5.1423, -2.4419, 2.3612]],
  "species": ["I", "I", "Rb", "Hg", "Fe"],
  "frac_coords": [[0.5000, 0.0000, 0.0000], [0.0000, 0.0000, 0.5000], [0.0000, 0.5000, 0.0000], [0.0000, 0.0000, 0.0000], [0.5000, 0.5000, 0.5000]]
}

[6]
{
  "formula": "FeHgSbI2",
  "functional": "PBE",
  "state": "relaxed",
  "de_polymorph_ev_per_atom": 0.000,
  "formation_energy_uncorrected_mev_per_atom": 313,
  "dos_at_fermi_per_ev_atom": 0.931,
  "lattice": [[5.4884, 0.0000, 0.0000], [0.0000, 5.4884, 0.0000], [0.0000, 0.0000, 4.8563]],
  "species": ["Hg", "Fe", "I", "I", "Sb"],
  "frac_coords": [[0.5000, 0.5000, 0.5000], [0.0000, 0.0000, 0.0000], [0.0000, 0.5000, 0.0000], [0.5000, 0.0000, 0.0000], [0.0000, 0.0000, 0.5000]]
}

[7]
{
  "formula": "FeHgTe2I",
  "functional": "PBE",
  "state": "relaxed",
  "de_polymorph_ev_per_atom": 0.736,
  "formation_energy_uncorrected_mev_per_atom": 1055,
  "dos_at_fermi_per_ev_atom": 2.065,
  "lattice": [[-3.4981, -4.1223, 1.5588], [4.2165, -3.7095, -0.3477], [1.3297, 0.9870, 5.5941]],
  "species": ["Te", "Te", "I", "Hg", "Fe"],
  "frac_coords": [[0.0000, 0.5000, 0.0000], [0.5000, 0.0000, 0.0000], [0.0000, 0.0000, 0.5000], [0.0000, 0.0000, 0.0000], [0.5000, 0.5000, 0.5000]]
}

[8]
{
  "formula": "FeHgTeI2",
  "functional": "PBE",
  "state": "relaxed",
  "de_polymorph_ev_per_atom": 0.000,
  "formation_energy_uncorrected_mev_per_atom": 331,
  "dos_at_fermi_per_ev_atom": 1.445,
  "lattice": [[-3.0196, -1.9316, 4.3134], [4.1994, -3.4450, 1.3970], [1.8516, 3.4000, 2.8187]],
  "species": ["Hg", "Fe", "Te", "I", "I"],
  "frac_coords": [[0.5000, 0.5000, 0.5000], [0.0000, 0.0000, 0.0000], [0.0000, 0.0000, 0.5000], [0.0000, 0.5000, 0.0000], [0.5000, 0.0000, 0.0000]]
}

[9]
{
  "formula": "FeHgTe2I",
  "functional": "PBE",
  "state": "relaxed",
  "de_polymorph_ev_per_atom": 0.000,
  "formation_energy_uncorrected_mev_per_atom": 319,
  "dos_at_fermi_per_ev_atom": 1.204,
  "lattice": [[4.9859, 0.0000, 0.0000], [0.0000, 4.9859, 0.0000], [0.0000, 0.0000, 5.7448]],
  "species": ["Te", "Te", "Fe", "I", "Hg"],
  "frac_coords": [[0.0000, 0.5000, 0.0000], [0.5000, 0.0000, 0.0000], [0.0000, 0.0000, 0.0000], [0.0000, 0.0000, 0.5000], [0.5000, 0.5000, 0.5000]]
}

[10]
{
  "formula": "Tl3Fe4HgI12",
  "functional": "PBE",
  "state": "relaxed",
  "formation_energy_uncorrected_mev_per_atom": -181,
  "dos_at_fermi_per_ev_atom": 0.718,
  "lattice": [[-4.6149, 2.9136, -9.2371], [8.9140, -5.1080, -3.0920], [-6.3205, -7.8638, 3.6499]],
  "species": ["I", "I", "I", "I", "I", "I", "I", "I", "I", "I", "I", "I", "Fe", "Fe", "Fe", "Fe", "Tl", "Tl", "Tl", "Hg"],
  "frac_coords": [[0.6506, 0.8041, 0.0427], [0.9573, 0.1959, 0.3494], [0.6498, 0.5000, 0.3502], [0.1959, 0.3494, 0.9573], [0.5000, 0.3502, 0.6498], [0.3494, 0.9573, 0.1959], [0.1014, 0.8986, 0.5000], [0.3502, 0.6498, 0.5000], [0.0427, 0.6506, 0.8041], [0.5000, 0.1014, 0.8986], [0.8041, 0.0427, 0.6506], [0.8986, 0.5000, 0.1014], [0.5000, 0.9511, 0.0489], [0.9511, 0.0489, 0.5000], [0.5000, 0.5000, 0.5000], [0.0489, 0.5000, 0.9511], [0.4624, 0.0000, 0.5376], [0.5376, 0.4624, 0.0000], [0.0000, 0.5376, 0.4624], [0.0000, 0.0000, 0.0000]]
}

[11]
{
  "formula": "InFeHg2",
  "functional": "PBE",
  "state": "relaxed",
  "delta_e_f_kj_per_mol_atoms": 37,
  "dos_at_fermi_per_ev_atom": 0.391,
  "lattice": [[-2.2132, 3.2474, -1.8438], [-3.4386, -0.9467, 2.4602], [1.4383, 2.7149, 3.0550]],
  "species": ["In", "Fe", "Hg", "Hg"],
  "frac_coords": [[0.5000, 0.5000, 0.0000], [0.5000, 0.0000, 0.5000], [0.0000, 0.5000, 0.5000], [0.0000, 0.0000, 0.0000]]
}

[12]
{
  "formula": "InFeHg2",
  "functional": "PBE",
  "state": "relaxed",
  "delta_e_f_kj_per_mol_atoms": 32,
  "dos_at_fermi_per_ev_atom": 0.617,
  "lattice": [[9.7296, 0.0440, 0.0259], [9.1893, 3.1975, 0.0259], [9.1893, 1.5745, 2.7831]],
  "species": ["In", "Fe", "Hg", "Hg"],
  "frac_coords": [[0.4900, 0.4900, 0.4900], [0.7503, 0.7503, 0.7503], [0.2490, 0.2490, 0.2490], [0.0108, 0.0108, 0.0108]]
}

Summary of mass density in Mg/m³
4.0 4.1 4.9 4.2 4.0 7.2 5.7 7.0 7.4 3.8 11.7 11.2
(order as listed above)
Summary of spin magnetization in μB per formula unit
9.0 5.0 0.1 9.0 4.0 2.0 4.3 0.0 3.2 17.0 3.0 2.9
(order as listed above)